Compound: NaCa3Ac2Te6
Source: the Alexandria database
Functional: PBE
Structure: relaxed

a b c (Å): 4.615 9.277 10.336
angles (deg): 103.34 102.90 90.00
Atoms (fractional coordinates):
Na1 0.500 0.000 0.000
Ca1 0.500 0.500 0.000
Ca2 0.835 0.166 0.670
Ca3 0.165 0.834 0.330
Ac1 0.838 0.674 0.676
Ac2 0.162 0.326 0.324
Te1 0.330 0.926 0.660
Te2 0.665 0.591 0.331
Te3 0.670 0.074 0.340
Te4 0.996 0.256 0.992
Te5 0.004 0.744 0.008
Te6 0.335 0.409 0.669

Values from the calculation:
- electronic total energy (eV/atom) = -4.38
- D(E_F) (states/eV/atom) = 0.259